(1)
DFT (PBE) results for crystalline CoTcSn6 at its relaxed geometry.

The total moment is 0.00 μB per cell. Its crystal system is monoclinic. The calculation puts the theoretical density at 7.68 g cm⁻³. For the density of states at the Fermi level, the calculation gives 0.79 states/eV per atom. The calculation puts the energy at -39.7 eV per formula unit.

It has space group C2/m (No. 12), with a = 6.410 Å, b = 8.592 Å, c = 6.923 Å, α = 90.00°, β = 99.70° and γ = 90.00°. Symmetry generates all atoms from Co at (0.000, 0.000, 0.000), Tc at (0.000, 0.500, 0.500), Sn at (0.170, 0.179, 0.289) and Sn at (0.179, 0.500, 0.159).

---

(2)
DFT (PBE) results for crystalline Co3TcSn at its relaxed geometry.

The total moment is 1.61 μB per cell. Its crystal system is cubic. The calculation puts the theoretical density at 7.46 g cm⁻³. For the density of states at the Fermi level, the calculation gives 1.86 states/eV per atom. The calculation puts the energy at -29.7 eV per formula unit.

It has space group Pm-3m (No. 221), with a = 4.442 Å, b = 4.442 Å, c = 4.442 Å, α = 90.00°, β = 90.00° and γ = 90.00°. Symmetry generates all atoms from Co at (0.000, 0.000, 0.500), Tc at (0.000, 0.000, 0.000) and Sn at (0.500, 0.500, 0.500).

---

(3)
DFT (PBE) results for crystalline CoTcSn2 at its relaxed geometry.

The total moment is 0.00 μB per cell. Its crystal system is cubic. The calculation puts the theoretical density at 9.89 g cm⁻³. For the density of states at the Fermi level, the calculation gives 0.33 states/eV per atom. The calculation puts the energy at -24.8 eV per formula unit.

It has space group Fm-3m (No. 225), with a = 6.422 Å, b = 6.422 Å, c = 6.422 Å, α = 90.00°, β = 90.00° and γ = 90.00°. Symmetry generates all atoms from Co at (0.000, 0.000, 0.000), Tc at (0.000, 0.000, 0.500) and Sn at (0.250, 0.250, 0.250).

---

(4)
DFT (PBE) results for crystalline CoTcSn4 at its relaxed geometry.

The total moment is 0.75 μB per cell. Its crystal system is monoclinic. The calculation puts the theoretical density at 8.11 g cm⁻³. For the density of states at the Fermi level, the calculation gives 0.55 states/eV per atom. The calculation puts the energy at -32.6 eV per formula unit.

It has space group P2/m (No. 10), with a = 5.727 Å, b = 3.473 Å, c = 6.755 Å, α = 90.00°, β = 105.61° and γ = 90.00°. Symmetry generates all atoms from Co at (0.000, 0.000, 0.000), Tc at (0.500, 0.500, 0.000), Sn at (0.063, 0.500, 0.728) and Sn at (0.420, 0.000, 0.281).